First-principles (GGA-PBE) data for a relaxed Li2TlPd crystal, as listed in OQMD.

abc: 4.5034 4.5034 7.4520
angles: 90.00 90.00 120.00
Closest atoms and distances in Å follow each position.
Sites, in units of the cell vectors:
Li 0.3333 0.6667 0.5933  1 Li 2.34, 1 Pd 2.56
Li 0.3333 0.6667 0.9067  1 Li 2.34, 1 Pd 2.56
Li 0.6667 0.3333 0.0933  1 Li 2.34, 1 Pd 2.56
Li 0.6667 0.3333 0.4067  1 Li 2.34, 1 Pd 2.56
Pd 0.6667 0.3333 0.7500  8 Li 2.56-2.85
Pd 0.3333 0.6667 0.2500  8 Li 2.56-2.85
Tl 0.0000 0.0000 0.0000  6 Li 2.69
Tl 0.0000 0.0000 0.5000  6 Li 2.69

Output
Its space group is P6_3/mmc. The crystal system is hexagonal. Its uncorrected energy is -3.076 eV/atom.